Material: SmCu3Se2S2
Method: DFT, PBE
State: optimized geometry

The calculation puts the energy above the lowest structure with this stoichiometry at 0.02 eV/f.u.

The space group is Fmm2 (No. 42) and the conventional cell measures 7.879, 8.381 and 10.648 Å, with angles of 90.00, 90.00 and 90.00 degrees. Symmetry generates all atoms from Sm at (0.000, 0.000, 0.000), Cu at (0.000, 0.000, 0.475), Cu at (0.250, 0.250, 0.208), Se at (0.227, 0.000, 0.324) and S at (0.000, 0.211, 0.606).